ZrAl2Os: relaxed, GGA-PBE.

Lattice parameters (Å, degrees): 2.9613 2.9613 26.9969 90.00 90.00 120.00
Element x y z (fractional)
1 Zr 0.0000 0.0000 0.0000
2 Zr 0.3333 0.6667 0.6667
3 Zr 0.6667 0.3333 0.3333
4 Al 0.0000 0.0000 0.2394
5 Al 0.0000 0.0000 0.7606
6 Al 0.3333 0.6667 0.4273
7 Al 0.3333 0.6667 0.9060
8 Al 0.6667 0.3333 0.0940
9 Al 0.6667 0.3333 0.5727
10 Os 0.0000 0.0000 0.5000
11 Os 0.3333 0.6667 0.1667
12 Os 0.6667 0.3333 0.8333

Results
Energy relative to the elements = -42.3 kJ/mol of formula units
Space group = R-3m

---

ZrAl2Os2: relaxed, GGA-PBE.

Lattice parameters (Å, degrees): 7.2887 7.2887 3.0204 90.00 90.00 90.00
Element x y z (fractional)
1 Zr 0.0000 0.0000 0.0000
2 Zr 0.5000 0.5000 0.0000
3 Al 0.1448 0.3552 0.5000
4 Al 0.3552 0.8552 0.5000
5 Al 0.6448 0.1448 0.5000
6 Al 0.8552 0.6448 0.5000
7 Os 0.1500 0.6500 0.0000
8 Os 0.3500 0.1500 0.0000
9 Os 0.6500 0.8500 0.0000
10 Os 0.8500 0.3500 0.0000

Results
Energy relative to the elements = -159.2 kJ/mol of formula units
Space group = P4/mbm

---

ZrAl2Os: relaxed, GGA-PBE.

Lattice parameters (Å, degrees): 3.0753 4.3081 5.0395 90.00 99.86 90.00
Element x y z (fractional)
1 Zr 0.0000 0.0000 0.0000
2 Al 0.5635 0.0000 0.5006
3 Al 0.5640 0.5000 0.2179
4 Os 0.2132 0.5000 0.6705

Results
Energy relative to the elements = -113.2 kJ/mol of formula units
Space group = Pm